# 1
This record from Alexandria via LeMat-Bulk describes a relaxed Sb2OsPb crystal. The functional is PBE-GGA.

Cell lengths 4.7155, 4.7155, 8.1651 Å; angles 90.00, 90.00, 90.00 degrees
Last column: nearest neighbours and their distance in Å.
Space group I-4m2 (No. 119)
Unique sites:
Sb  0.0000  0.0000  0.0000 (multiplicity 2)  4 Sb 3.12, 4 Os 3.12, 4 Pb 3.33
Sb  0.0000  0.5000  0.2500 (multiplicity 2)  4 Pb 3.12, 4 Sb 3.12, 4 Os 3.33
Os  0.0000  0.5000  0.7500 (multiplicity 2)  4 Pb 3.12, 8 Sb 3.12-3.33
Pb  0.0000  0.0000  0.5000 (multiplicity 2)  8 Sb 3.12-3.33, 4 Os 3.12

Summary:
- spin magnetization (μB/f.u.) = 0.00

# 2
This record from Alexandria via LeMat-Bulk describes a relaxed W2SeBr crystal. The functional is PBE-GGA.

Cell lengths 2.9366, 5.6687, 8.8502 Å; angles 90.00, 90.00, 90.00 degrees
Last column: nearest neighbours and their distance in Å.
Space group Immm (No. 71)
Unique sites:
W  0.0000  0.0000  0.2334 (multiplicity 4)  2 Se 2.53, 2 Br 2.78
Se  0.0000  0.5000  0.5000 (multiplicity 2)  4 W 2.53
Br  0.0000  0.5000  0.0000 (multiplicity 2)  4 W 2.78, 2 Br 2.94

Summary:
- spin magnetization (μB/f.u.) = 0.00

| no. | E_form (uncorrected) (eV/atom) |
| --- | --- |
| 1 | 0.813 |
| 2 | 1.133 |